No. 1
Compound: Tb5Pr4Ho2
Source: the Alexandria database
Functional: PBE-GGA
Structure: optimized geometry

Energy relative to the lowest polymorph listed for this composition (meV per atom): 116.9
Total magnetization (μB/atom): 0.00
Crystal system: orthorhombic
Energy relative to the elements (eV/atom): 0.2243

a b c (Å): 12.706 12.706 12.706
angles (deg): 163.97 137.71 45.50
Fractional positions:
Tb  0.000  0.000  0.000
Tb  0.053  0.357  0.697
Tb  0.340  0.643  0.697
Tb  0.660  0.357  0.303
Tb  0.947  0.643  0.303
Pr  0.269  0.769  0.500
Pr  0.303  0.500  0.803
Pr  0.697  0.500  0.197
Pr  0.731  0.231  0.500
Ho  0.403  0.903  0.500
Ho  0.597  0.097  0.500

***

No. 2
Compound: Tb15Pr4Ho
Source: the Alexandria database
Functional: PBE-GGA
Structure: optimized geometry

Total magnetization (μB/atom): 0.00
Crystal system: tetragonal
Energy relative to the elements (eV/atom): 0.0183

a b c (Å): 5.082 5.082 25.325
angles (deg): 90.00 90.00 90.00
Fractional positions:
Tb  0.000  0.000  0.000
Tb  0.000  0.000  0.198
Tb  0.000  0.000  0.400
Tb  0.000  0.000  0.600
Tb  0.000  0.000  0.802
Tb  0.000  0.500  0.098
Tb  0.000  0.500  0.299
Tb  0.000  0.500  0.500
Tb  0.000  0.500  0.701
Tb  0.000  0.500  0.902
Tb  0.500  0.000  0.098
Tb  0.500  0.000  0.299
Tb  0.500  0.000  0.500
Tb  0.500  0.000  0.701
Tb  0.500  0.000  0.902
Pr  0.500  0.500  0.199
Pr  0.500  0.500  0.399
Pr  0.500  0.500  0.601
Pr  0.500  0.500  0.801
Ho  0.500  0.500  0.000

***

No. 3
Compound: Tb3Pr2Ho5
Source: the Alexandria database
Functional: PBE-GGA
Structure: optimized geometry

Energy relative to the lowest polymorph listed for this composition (meV per atom): 215.8
Total magnetization (μB/atom): 0.00
Crystal system: orthorhombic
Energy relative to the elements (eV/atom): 0.4074

a b c (Å): 12.323 12.323 12.323
angles (deg): 135.09 56.24 147.94
Fractional positions:
Tb  0.126  0.749  0.875
Tb  0.250  0.250  0.000
Tb  0.374  0.249  0.622
Tb  0.626  0.751  0.378
Tb  0.750  0.750  0.000
Tb  0.874  0.251  0.125
Pr  0.125  0.104  0.229
Pr  0.375  0.604  0.979
Pr  0.625  0.396  0.021
Pr  0.875  0.896  0.771
Ho  0.002  0.750  0.252
Ho  0.125  0.413  0.538
Ho  0.250  0.750  0.500
Ho  0.375  0.913  0.289
Ho  0.498  0.750  0.748
Ho  0.502  0.250  0.252
Ho  0.625  0.087  0.711
Ho  0.750  0.250  0.500
Ho  0.875  0.587  0.462
Ho  0.998  0.250  0.748

***

No. 4
Compound: Tb3Pr4Ho2
Source: the Alexandria database
Functional: PBE-GGA
Structure: optimized geometry

Total magnetization (μB/atom): 0.00
Crystal system: monoclinic
Energy relative to the elements (eV/atom): 0.0852

a b c (Å): 6.727 6.727 14.511
angles (deg): 114.92 114.92 31.66
Fractional positions:
Tb  0.000  0.000  0.000
Tb  0.008  0.008  0.388
Tb  0.992  0.992  0.612
Pr  0.223  0.223  0.872
Pr  0.283  0.283  0.392
Pr  0.717  0.717  0.608
Pr  0.777  0.777  0.128
Ho  0.452  0.452  0.791
Ho  0.548  0.548  0.209

***

No. 5
Compound: Tb6PrHo8
Source: the Alexandria database
Functional: PBE-GGA
Structure: optimized geometry

Total magnetization (μB/atom): 0.00
Crystal system: trigonal
Energy relative to the elements (eV/atom): 0.1331

a b c (Å): 8.611 8.611 8.611
angles (deg): 63.21 63.21 63.21
Fractional positions:
Tb  0.037  0.608  0.731
Tb  0.269  0.963  0.392
Tb  0.392  0.269  0.963
Tb  0.608  0.731  0.037
Tb  0.731  0.037  0.608
Tb  0.963  0.392  0.269
Pr  0.500  0.500  0.500
Ho  0.076  0.076  0.076
Ho  0.220  0.611  0.244
Ho  0.244  0.220  0.611
Ho  0.389  0.756  0.780
Ho  0.611  0.244  0.220
Ho  0.756  0.780  0.389
Ho  0.780  0.389  0.756
Ho  0.924  0.924  0.924

***

No. 6
Compound: Tb2Pr8Ho
Source: the Alexandria database
Functional: PBE-GGA
Structure: optimized geometry

Total magnetization (μB/atom): 0.00
Crystal system: monoclinic
Energy relative to the elements (eV/atom): 0.1628

a b c (Å): 9.162 9.162 6.775
angles (deg): 99.81 99.81 44.15
Fractional positions:
Tb  0.194  0.194  0.309
Tb  0.806  0.806  0.691
Pr  0.176  0.652  0.096
Pr  0.244  0.244  0.822
Pr  0.348  0.824  0.904
Pr  0.405  0.405  0.583
Pr  0.595  0.595  0.417
Pr  0.652  0.176  0.096
Pr  0.756  0.756  0.178
Pr  0.824  0.348  0.904
Ho  0.000  0.000  0.500

***

No. 7
Compound: Tb15Pr2Ho2
Source: the Alexandria database
Functional: PBE-GGA
Structure: optimized geometry

Total magnetization (μB/atom): 0.00
Crystal system: trigonal
Energy relative to the elements (eV/atom): 0.2859

a b c (Å): 8.713 8.713 8.713
angles (deg): 82.50 82.50 82.50
Fractional positions:
Tb  0.000  0.000  0.500
Tb  0.000  0.346  0.654
Tb  0.000  0.500  0.000
Tb  0.000  0.654  0.346
Tb  0.202  0.666  0.666
Tb  0.334  0.334  0.798
Tb  0.334  0.798  0.334
Tb  0.346  0.000  0.654
Tb  0.346  0.654  0.000
Tb  0.500  0.000  0.000
Tb  0.654  0.000  0.346
Tb  0.654  0.346  0.000
Tb  0.666  0.202  0.666
Tb  0.666  0.666  0.202
Tb  0.798  0.334  0.334
Pr  0.115  0.115  0.115
Pr  0.885  0.885  0.885
Ho  0.352  0.352  0.352
Ho  0.648  0.648  0.648

***

No. 8
Compound: Tb5Pr2Ho
Source: the Alexandria database
Functional: PBE-GGA
Structure: optimized geometry

Total magnetization (μB/atom): 0.00
Crystal system: orthorhombic
Energy relative to the elements (eV/atom): 0.0183

a b c (Å): 7.188 14.376 5.080
angles (deg): 90.00 90.00 90.00
Fractional positions:
Tb  0.000  0.000  0.000
Tb  0.001  0.250  0.000
Tb  0.249  0.875  0.500
Tb  0.251  0.375  0.500
Tb  0.499  0.750  0.000
Tb  0.500  0.500  0.000
Tb  0.501  0.250  0.000
Tb  0.749  0.625  0.500
Tb  0.751  0.125  0.500
Tb  0.999  0.750  0.000
Pr  0.249  0.625  0.500
Pr  0.251  0.125  0.500
Pr  0.749  0.875  0.500
Pr  0.751  0.375  0.500
Ho  0.000  0.500  0.000
Ho  0.500  0.000  0.000

***

No. 9
Compound: TbPr5Ho2
Source: the Alexandria database
Functional: PBE-GGA
Structure: optimized geometry

Energy relative to the lowest polymorph listed for this composition (meV per atom): 151.0
Total magnetization (μB/atom): 0.00
Crystal system: monoclinic
Energy relative to the elements (eV/atom): 0.2681

a b c (Å): 13.537 13.537 6.583
angles (deg): 91.69 91.69 152.25
Fractional positions:
Tb  0.044  0.956  0.750
Tb  0.956  0.044  0.250
Pr  0.007  0.378  0.505
Pr  0.146  0.339  0.816
Pr  0.339  0.146  0.316
Pr  0.374  0.626  0.250
Pr  0.378  0.007  0.005
Pr  0.622  0.993  0.995
Pr  0.626  0.374  0.750
Pr  0.661  0.854  0.684
Pr  0.854  0.661  0.184
Pr  0.993  0.622  0.495
Ho  0.000  0.500  0.000
Ho  0.500  0.000  0.500
Ho  0.500  0.500  0.000
Ho  0.500  0.500  0.500

***

No. 10
Compound: TbPr2Ho
Source: the Alexandria database
Functional: PBE-GGA
Structure: optimized geometry

Energy relative to the lowest polymorph listed for this composition (meV per atom): 0.0
Total magnetization (μB/atom): 0.00
Crystal system: trigonal
Energy relative to the elements (eV/atom): 0.0119

a b c (Å): 3.636 3.636 35.240
angles (deg): 90.00 90.00 120.00
Fractional positions:
Tb  0.000  0.000  0.000
Tb  0.333  0.667  0.667
Tb  0.667  0.333  0.333
Pr  0.000  0.000  0.250
Pr  0.000  0.000  0.750
Pr  0.333  0.667  0.417
Pr  0.333  0.667  0.916
Pr  0.667  0.333  0.084
Pr  0.667  0.333  0.583
Ho  0.000  0.000  0.500
Ho  0.333  0.667  0.167
Ho  0.667  0.333  0.833

***

No. 11
Compound: Tb5PrHo3
Source: the Alexandria database
Functional: PBE-GGA
Structure: optimized geometry

Energy relative to the lowest polymorph listed for this composition (meV per atom): 0.0
Total magnetization (μB/atom): 0.00
Crystal system: monoclinic
Energy relative to the elements (eV/atom): 0.1820

a b c (Å): 8.800 8.800 11.399
angles (deg): 107.11 107.11 44.80
Fractional positions:
Tb  0.105  0.112  0.046
Tb  0.112  0.105  0.546
Tb  0.181  0.819  0.750
Tb  0.208  0.441  0.629
Tb  0.441  0.208  0.129
Tb  0.559  0.792  0.871
Tb  0.792  0.559  0.371
Tb  0.819  0.181  0.250
Tb  0.888  0.895  0.454
Tb  0.895  0.888  0.954
Pr  0.271  0.729  0.250
Pr  0.729  0.271  0.750
Ho  0.121  0.357  0.858
Ho  0.357  0.121  0.358
Ho  0.500  0.500  0.000
Ho  0.500  0.500  0.500
Ho  0.643  0.879  0.642
Ho  0.879  0.643  0.142

***

No. 12
Compound: Tb2Pr5Ho12
Source: the Alexandria database
Functional: PBE-GGA
Structure: optimized geometry

Energy relative to the lowest polymorph listed for this composition (meV per atom): 0.0
Total magnetization (μB/atom): 0.00
Crystal system: triclinic
Energy relative to the elements (eV/atom): 0.0214

a b c (Å): 6.194 9.477 10.733
angles (deg): 101.07 95.61 90.04
Fractional positions:
Tb  0.081  0.318  0.474
Tb  0.919  0.682  0.526
Pr  0.237  0.947  0.421
Pr  0.341  0.368  0.054
Pr  0.500  0.000  0.000
Pr  0.659  0.632  0.946
Pr  0.763  0.053  0.579
Ho  0.025  0.106  0.158
Ho  0.131  0.526  0.788
Ho  0.182  0.737  0.105
Ho  0.289  0.160  0.737
Ho  0.396  0.578  0.369
Ho  0.445  0.787  0.683
Ho  0.555  0.213  0.317
Ho  0.604  0.422  0.631
Ho  0.711  0.840  0.263
Ho  0.818  0.263  0.895
Ho  0.869  0.474  0.212
Ho  0.975  0.894  0.842